Record 1
Entry from the Alexandria database: Re3SnI at its PBEsol-relaxed geometry (SCAN).

* DOS at the Fermi energy: 5.254 states/eV per cell
* E_form (uncorrected): 3.1390 eV per atom

```
data_Re3SnI
_chemical_formula_sum 'Re3 Sn1 I1'
_space_group_name_H-M_alt 'P 1'
_space_group_IT_number 1
_cell_length_a 4.864
_cell_length_b 4.864
_cell_length_c 4.864
_cell_angle_alpha 90.00
_cell_angle_beta 90.00
_cell_angle_gamma 90.00
loop_
_space_group_symop_operation_xyz
'x,y,z'
loop_
_atom_site_label
_atom_site_type_symbol
_atom_site_fract_x
_atom_site_fract_y
_atom_site_fract_z
_atom_site_occupancy
I1 I 0.500 0.500 0.500 1
Re1 Re 0.500 0.000 0.000 1
Re2 Re 0.000 0.000 0.500 1
Re3 Re 0.000 0.500 0.000 1
Sn1 Sn 0.000 0.000 0.000 1
```

Record 2
Entry from the Alexandria database: YReB2P at its PBEsol-relaxed geometry (SCAN).

* DOS at the Fermi energy: 2.427 states/eV per cell
* DFT formation energy: 0.977 eV/atom

```
data_YReB2P
_chemical_formula_sum 'Y1 Re1 B2 P1'
_space_group_name_H-M_alt 'P 1'
_space_group_IT_number 1
_cell_length_a 4.062
_cell_length_b 4.062
_cell_length_c 4.426
_cell_angle_alpha 90.00
_cell_angle_beta 90.00
_cell_angle_gamma 90.00
loop_
_space_group_symop_operation_xyz
'x,y,z'
loop_
_atom_site_label
_atom_site_type_symbol
_atom_site_fract_x
_atom_site_fract_y
_atom_site_fract_z
_atom_site_occupancy
Y1 Y 0.500 0.500 0.500 1
B1 B 0.000 0.500 0.000 1
B2 B 0.500 0.000 0.000 1
P1 P 0.000 0.000 0.000 1
Re1 Re 0.000 0.000 0.500 1
```

Record 3
Entry from the Alexandria database: BaCo2Sb at its PBEsol-relaxed geometry (SCAN).

* DOS at the Fermi energy: 3.489 states/eV per cell
* E_form (uncorrected): -0.0977 eV per atom

```
data_BaCo2Sb
_chemical_formula_sum 'Ba1 Co2 Sb1'
_space_group_name_H-M_alt 'P 1'
_space_group_IT_number 1
_cell_length_a 4.344
_cell_length_b 4.344
_cell_length_c 6.129
_cell_angle_alpha 110.79
_cell_angle_beta 90.00
_cell_angle_gamma 120.00
loop_
_space_group_symop_operation_xyz
'x,y,z'
loop_
_atom_site_label
_atom_site_type_symbol
_atom_site_fract_x
_atom_site_fract_y
_atom_site_fract_z
_atom_site_occupancy
Co1 Co 0.821 0.642 0.963 1
Co2 Co 0.179 0.358 0.037 1
Sb1 Sb 0.500 0.000 0.000 1
Ba1 Ba 0.000 0.000 0.500 1
```

Record 4
Entry from the Alexandria database: TcPbSeBr2 at its PBEsol-relaxed geometry (SCAN).

* DOS at the Fermi energy: 3.498 states/eV per cell
* E_form (uncorrected): 0.0431 eV per atom

```
data_TcPbSeBr2
_chemical_formula_sum 'Tc1 Pb1 Se1 Br2'
_space_group_name_H-M_alt 'P 1'
_space_group_IT_number 1
_cell_length_a 4.711
_cell_length_b 5.116
_cell_length_c 5.116
_cell_angle_alpha 90.00
_cell_angle_beta 90.00
_cell_angle_gamma 90.00
loop_
_space_group_symop_operation_xyz
'x,y,z'
loop_
_atom_site_label
_atom_site_type_symbol
_atom_site_fract_x
_atom_site_fract_y
_atom_site_fract_z
_atom_site_occupancy
Tc1 Tc 0.000 0.000 0.000 1
Br1 Br 0.000 0.000 0.500 1
Br2 Br 0.000 0.500 0.000 1
Se1 Se 0.500 0.000 0.000 1
Pb1 Pb 0.500 0.500 0.500 1
```

Record 5
Entry from the Alexandria database: NbCuTeP2 at its PBEsol-relaxed geometry (SCAN).

* DOS at the Fermi energy: 2.814 states/eV per cell
* E_form (uncorrected): 0.8194 eV per atom

```
data_NbCuTeP2
_chemical_formula_sum 'Nb1 Cu1 Te1 P2'
_space_group_name_H-M_alt 'P 1'
_space_group_IT_number 1
_cell_length_a 4.353
_cell_length_b 4.353
_cell_length_c 5.109
_cell_angle_alpha 90.00
_cell_angle_beta 90.00
_cell_angle_gamma 90.00
loop_
_space_group_symop_operation_xyz
'x,y,z'
loop_
_atom_site_label
_atom_site_type_symbol
_atom_site_fract_x
_atom_site_fract_y
_atom_site_fract_z
_atom_site_occupancy
P1 P 0.500 0.000 0.000 1
P2 P 0.000 0.500 0.000 1
Cu1 Cu 0.000 0.000 0.000 1
Nb1 Nb 0.500 0.500 0.500 1
Te1 Te 0.000 0.000 0.500 1
```

Record 6
Entry from the Alexandria database: AlIn2Pd2 at its PBEsol-relaxed geometry (SCAN).

* DOS at the Fermi energy: 2.285 states/eV per cell
* DFT formation energy: -0.061 eV/atom

```
data_AlIn2Pd2
_chemical_formula_sum 'Al1 In2 Pd2'
_space_group_name_H-M_alt 'P 1'
_space_group_IT_number 1
_cell_length_a 3.866
_cell_length_b 3.866
_cell_length_c 7.024
_cell_angle_alpha 105.97
_cell_angle_beta 105.97
_cell_angle_gamma 90.00
loop_
_space_group_symop_operation_xyz
'x,y,z'
loop_
_atom_site_label
_atom_site_type_symbol
_atom_site_fract_x
_atom_site_fract_y
_atom_site_fract_z
_atom_site_occupancy
In1 In 0.750 0.250 0.500 1
In2 In 0.250 0.750 0.500 1
Pd1 Pd 0.600 0.600 0.200 1
Pd2 Pd 0.400 0.400 0.800 1
Al1 Al 0.000 0.000 0.000 1
```

Record 7
Entry from the Alexandria database: MnSe at its PBEsol-relaxed geometry (SCAN).

* DOS at the Fermi energy: 1.290 states/eV per cell
* E_form (uncorrected): 0.0803 eV per atom

```
data_MnSe
_chemical_formula_sum 'Mn2 Se2'
_space_group_name_H-M_alt 'P 1'
_space_group_IT_number 1
_cell_length_a 2.963
_cell_length_b 2.963
_cell_length_c 8.402
_cell_angle_alpha 90.00
_cell_angle_beta 90.00
_cell_angle_gamma 120.00
loop_
_space_group_symop_operation_xyz
'x,y,z'
loop_
_atom_site_label
_atom_site_type_symbol
_atom_site_fract_x
_atom_site_fract_y
_atom_site_fract_z
_atom_site_occupancy
Mn1 Mn 0.667 0.333 0.895 1
Mn2 Mn 0.333 0.667 0.105 1
Se1 Se 0.333 0.667 0.707 1
Se2 Se 0.667 0.333 0.293 1
```

Record 8
Entry from the Alexandria database: BeInBr at its PBEsol-relaxed geometry (SCAN).

* DOS at the Fermi energy: 0.571 states/eV per cell
* E_form (uncorrected): -0.0030 eV per atom

```
data_BeInBr
_chemical_formula_sum 'Be1 In1 Br1'
_space_group_name_H-M_alt 'P 1'
_space_group_IT_number 1
_cell_length_a 3.293
_cell_length_b 3.293
_cell_length_c 7.439
_cell_angle_alpha 90.00
_cell_angle_beta 90.00
_cell_angle_gamma 120.00
loop_
_space_group_symop_operation_xyz
'x,y,z'
loop_
_atom_site_label
_atom_site_type_symbol
_atom_site_fract_x
_atom_site_fract_y
_atom_site_fract_z
_atom_site_occupancy
Be1 Be 0.000 0.000 0.963 1
Br1 Br 0.333 0.667 0.790 1
In1 In 0.667 0.333 0.246 1
```

Record 9
Entry from the Alexandria database: Ag3Cl at its PBEsol-relaxed geometry (SCAN).

* DOS at the Fermi energy: 0.674 states/eV per cell
* E_form (uncorrected): -0.0420 eV per atom

```
data_Ag3Cl
_chemical_formula_sum 'Ag3 Cl1'
_space_group_name_H-M_alt 'P 1'
_space_group_IT_number 1
_cell_length_a 3.236
_cell_length_b 4.209
_cell_length_c 5.398
_cell_angle_alpha 90.00
_cell_angle_beta 90.00
_cell_angle_gamma 90.00
loop_
_space_group_symop_operation_xyz
'x,y,z'
loop_
_atom_site_label
_atom_site_type_symbol
_atom_site_fract_x
_atom_site_fract_y
_atom_site_fract_z
_atom_site_occupancy
Ag1 Ag 0.500 0.000 0.528 1
Ag2 Ag 0.000 0.000 0.974 1
Ag3 Ag 0.500 0.500 0.846 1
Cl1 Cl 0.000 0.500 0.319 1
```

Record 10
Entry from the Alexandria database: CaCu2Sb at its PBEsol-relaxed geometry (SCAN).

* DOS at the Fermi energy: 2.084 states/eV per cell
* E_form (uncorrected): -0.0682 eV per atom

```
data_CaCu2Sb
_chemical_formula_sum 'Ca1 Cu2 Sb1'
_space_group_name_H-M_alt 'P 1'
_space_group_IT_number 1
_cell_length_a 3.320
_cell_length_b 3.320
_cell_length_c 6.911
_cell_angle_alpha 90.00
_cell_angle_beta 90.00
_cell_angle_gamma 90.00
loop_
_space_group_symop_operation_xyz
'x,y,z'
loop_
_atom_site_label
_atom_site_type_symbol
_atom_site_fract_x
_atom_site_fract_y
_atom_site_fract_z
_atom_site_occupancy
Cu1 Cu 0.500 0.500 0.206 1
Cu2 Cu 0.000 0.000 0.066 1
Sb1 Sb 0.000 0.000 0.447 1
Ca1 Ca 0.500 0.500 0.782 1
```

Record 11
Entry from the Alexandria database: CoNi2Os at its PBEsol-relaxed geometry (SCAN).

* DOS at the Fermi energy: 4.629 states/eV per cell
* DFT formation energy: 0.183 eV/atom

```
data_CoNi2Os
_chemical_formula_sum 'Co1 Ni2 Os1'
_space_group_name_H-M_alt 'P 1'
_space_group_IT_number 1
_cell_length_a 2.571
_cell_length_b 2.571
_cell_length_c 8.239
_cell_angle_alpha 81.02
_cell_angle_beta 81.02
_cell_angle_gamma 60.00
loop_
_space_group_symop_operation_xyz
'x,y,z'
loop_
_atom_site_label
_atom_site_type_symbol
_atom_site_fract_x
_atom_site_fract_y
_atom_site_fract_z
_atom_site_occupancy
Os1 Os 0.500 0.500 0.500 1
Ni1 Ni 0.747 0.747 0.759 1
Ni2 Ni 0.253 0.253 0.241 1
Co1 Co 0.000 0.000 0.000 1
```

Record 12
Entry from the Alexandria database: ErCr2Si2C at its PBEsol-relaxed geometry (SCAN).

* DOS at the Fermi energy: 2.509 states/eV per cell
* E_form (uncorrected): -0.4941 eV per atom

```
data_ErCr2Si2C
_chemical_formula_sum 'Er1 Cr2 Si2 C1'
_space_group_name_H-M_alt 'P 1'
_space_group_IT_number 1
_cell_length_a 3.908
_cell_length_b 3.908
_cell_length_c 5.146
_cell_angle_alpha 90.00
_cell_angle_beta 90.00
_cell_angle_gamma 90.00
loop_
_space_group_symop_operation_xyz
'x,y,z'
loop_
_atom_site_label
_atom_site_type_symbol
_atom_site_fract_x
_atom_site_fract_y
_atom_site_fract_z
_atom_site_occupancy
C1 C 0.000 0.000 0.000 1
Cr1 Cr 0.000 0.500 0.000 1
Cr2 Cr 0.500 0.000 0.000 1
Er1 Er 0.000 0.000 0.500 1
Si1 Si 0.500 0.500 0.271 1
Si2 Si 0.500 0.500 0.729 1
```

Record 13
Entry from the Alexandria database: ZrGeF2 at its PBEsol-relaxed geometry (SCAN).

* DOS at the Fermi energy: 2.170 states/eV per cell
* E_form (uncorrected): -1.6175 eV per atom

```
data_ZrGeF2
_chemical_formula_sum 'Zr1 Ge1 F2'
_space_group_name_H-M_alt 'P 1'
_space_group_IT_number 1
_cell_length_a 3.102
_cell_length_b 3.102
_cell_length_c 8.715
_cell_angle_alpha 79.75
_cell_angle_beta 79.75
_cell_angle_gamma 60.00
loop_
_space_group_symop_operation_xyz
'x,y,z'
loop_
_atom_site_label
_atom_site_type_symbol
_atom_site_fract_x
_atom_site_fract_y
_atom_site_fract_z
_atom_site_occupancy
Ge1 Ge 0.500 0.500 0.500 1
F1 F 0.077 0.077 0.768 1
F2 F 0.923 0.923 0.232 1
Zr1 Zr 0.000 0.000 0.000 1
```

Record 14
Entry from the Alexandria database: ZrAs at its PBEsol-relaxed geometry (SCAN).

* DOS at the Fermi energy: 3.583 states/eV per cell
* DFT formation energy: -0.117 eV/atom

```
data_ZrAs
_chemical_formula_sum 'Zr2 As2'
_space_group_name_H-M_alt 'P 1'
_space_group_IT_number 1
_cell_length_a 3.060
_cell_length_b 3.060
_cell_length_c 10.460
_cell_angle_alpha 90.00
_cell_angle_beta 90.00
_cell_angle_gamma 120.00
loop_
_space_group_symop_operation_xyz
'x,y,z'
loop_
_atom_site_label
_atom_site_type_symbol
_atom_site_fract_x
_atom_site_fract_y
_atom_site_fract_z
_atom_site_occupancy
Zr1 Zr 0.333 0.667 0.626 1
Zr2 Zr 0.667 0.333 0.374 1
As1 As 0.333 0.667 0.155 1
As2 As 0.667 0.333 0.845 1
```

Record 15
Entry from the Alexandria database: TaCr2Mo at its PBEsol-relaxed geometry (SCAN).

* DOS at the Fermi energy: 2.389 states/eV per cell
* DFT formation energy: -0.017 eV/atom

```
data_TaCr2Mo
_chemical_formula_sum 'Ta1 Cr2 Mo1'
_space_group_name_H-M_alt 'P 1'
_space_group_IT_number 1
_cell_length_a 3.025
_cell_length_b 4.269
_cell_length_c 4.269
_cell_angle_alpha 90.00
_cell_angle_beta 90.00
_cell_angle_gamma 90.00
loop_
_space_group_symop_operation_xyz
'x,y,z'
loop_
_atom_site_label
_atom_site_type_symbol
_atom_site_fract_x
_atom_site_fract_y
_atom_site_fract_z
_atom_site_occupancy
Cr1 Cr 0.000 0.000 0.500 1
Cr2 Cr 0.000 0.500 0.000 1
Mo1 Mo 0.500 0.500 0.500 1
Ta1 Ta 0.500 0.000 0.000 1
```

Record 16
Entry from the Alexandria database: Ba3AgOs at its PBEsol-relaxed geometry (SCAN).

* DOS at the Fermi energy: 5.482 states/eV per cell
* DFT formation energy: 1.080 eV/atom

```
data_Ba3AgOs
_chemical_formula_sum 'Ba3 Ag1 Os1'
_space_group_name_H-M_alt 'P 1'
_space_group_IT_number 1
_cell_length_a 5.980
_cell_length_b 5.980
_cell_length_c 5.980
_cell_angle_alpha 90.00
_cell_angle_beta 90.00
_cell_angle_gamma 90.00
loop_
_space_group_symop_operation_xyz
'x,y,z'
loop_
_atom_site_label
_atom_site_type_symbol
_atom_site_fract_x
_atom_site_fract_y
_atom_site_fract_z
_atom_site_occupancy
Ba1 Ba 0.000 0.000 0.500 1
Ba2 Ba 0.500 0.000 0.000 1
Ba3 Ba 0.000 0.500 0.000 1
Os1 Os 0.500 0.500 0.500 1
Ag1 Ag 0.000 0.000 0.000 1
```

Record 17
Entry from the Alexandria database: K2LiPb at its PBEsol-relaxed geometry (SCAN).

* DOS at the Fermi energy: 4.984 states/eV per cell
* DFT formation energy: -0.148 eV/atom

```
data_K2LiPb
_chemical_formula_sum 'K2 Li1 Pb1'
_space_group_name_H-M_alt 'P 1'
_space_group_IT_number 1
_cell_length_a 5.755
_cell_length_b 5.758
_cell_length_c 5.755
_cell_angle_alpha 60.02
_cell_angle_beta 90.00
_cell_angle_gamma 119.98
loop_
_space_group_symop_operation_xyz
'x,y,z'
loop_
_atom_site_label
_atom_site_type_symbol
_atom_site_fract_x
_atom_site_fract_y
_atom_site_fract_z
_atom_site_occupancy
K1 K 0.250 0.500 0.250 1
K2 K 0.000 0.000 0.000 1
Li1 Li 0.500 0.000 0.500 1
Pb1 Pb 0.750 0.500 0.750 1
```

Record 18
Entry from the Alexandria database: HgP2SI at its PBEsol-relaxed geometry (SCAN).

* DOS at the Fermi energy: 3.560 states/eV per cell
* E_form (uncorrected): 1.3988 eV per atom

```
data_HgP2SI
_chemical_formula_sum 'Hg1 P2 S1 I1'
_space_group_name_H-M_alt 'P 1'
_space_group_IT_number 1
_cell_length_a 4.970
_cell_length_b 5.144
_cell_length_c 5.144
_cell_angle_alpha 90.00
_cell_angle_beta 90.00
_cell_angle_gamma 90.00
loop_
_space_group_symop_operation_xyz
'x,y,z'
loop_
_atom_site_label
_atom_site_type_symbol
_atom_site_fract_x
_atom_site_fract_y
_atom_site_fract_z
_atom_site_occupancy
Hg1 Hg 0.500 0.500 0.500 1
I1 I 0.000 0.000 0.000 1
P1 P 0.000 0.000 0.500 1
P2 P 0.000 0.500 0.000 1
S1 S 0.500 0.000 0.000 1
```

Record 19
Entry from the Alexandria database: Rb6Co2O7 at its PBEsol-relaxed geometry (SCAN).

* E_form (uncorrected): -1.3863 eV per atom

```
data_Rb6Co2O7
_chemical_formula_sum 'Rb12 Co4 O14'
_space_group_name_H-M_alt 'P 1'
_space_group_IT_number 1
_cell_length_a 9.352
_cell_length_b 9.352
_cell_length_c 9.948
_cell_angle_alpha 90.00
_cell_angle_beta 90.00
_cell_angle_gamma 120.00
loop_
_space_group_symop_operation_xyz
'x,y,z'
loop_
_atom_site_label
_atom_site_type_symbol
_atom_site_fract_x
_atom_site_fract_y
_atom_site_fract_z
_atom_site_occupancy
O1 O 0.468 0.169 0.371 1
O2 O 0.667 0.333 0.126 1
O3 O 0.171 0.684 0.118 1
O4 O 0.487 0.171 0.882 1
O5 O 0.300 0.468 0.629 1
O6 O 0.532 0.831 0.629 1
O7 O 0.684 0.513 0.882 1
O8 O 0.169 0.700 0.629 1
O9 O 0.829 0.316 0.882 1
O10 O 0.513 0.829 0.118 1
O11 O 0.831 0.300 0.371 1
O12 O 0.333 0.667 0.874 1
O13 O 0.700 0.532 0.371 1
O14 O 0.316 0.487 0.118 1
Rb1 Rb 0.348 0.392 0.374 1
Rb2 Rb 0.608 0.956 0.374 1
Rb3 Rb 0.956 0.348 0.626 1
Rb4 Rb 0.968 0.332 0.126 1
Rb5 Rb 0.652 0.608 0.626 1
Rb6 Rb 0.044 0.652 0.374 1
Rb7 Rb 0.032 0.668 0.874 1
Rb8 Rb 0.636 0.968 0.874 1
Rb9 Rb 0.392 0.044 0.626 1
Rb10 Rb 0.364 0.032 0.126 1
Rb11 Rb 0.668 0.636 0.126 1
Rb12 Rb 0.332 0.364 0.874 1
Co1 Co 0.667 0.333 0.942 1
Co2 Co 0.333 0.667 0.058 1
Co3 Co 0.667 0.333 0.319 1
Co4 Co 0.333 0.667 0.681 1
```

Record 20
Entry from the Alexandria database: LiTa2Tl at its PBEsol-relaxed geometry (SCAN).

* DOS at the Fermi energy: 2.916 states/eV per cell
* DFT formation energy: 0.627 eV/atom

```
data_LiTa2Tl
_chemical_formula_sum 'Li1 Ta2 Tl1'
_space_group_name_H-M_alt 'P 1'
_space_group_IT_number 1
_cell_length_a 2.851
_cell_length_b 2.851
_cell_length_c 10.165
_cell_angle_alpha 90.00
_cell_angle_beta 90.00
_cell_angle_gamma 112.23
loop_
_space_group_symop_operation_xyz
'x,y,z'
loop_
_atom_site_label
_atom_site_type_symbol
_atom_site_fract_x
_atom_site_fract_y
_atom_site_fract_z
_atom_site_occupancy
Ta1 Ta 0.000 0.000 0.251 1
Ta2 Ta 0.000 0.000 0.749 1
Li1 Li 0.500 0.500 0.000 1
Tl1 Tl 0.500 0.500 0.500 1
```

In the order shown, the computed calculated volume values come out to 115.1 73.0 91.4 123.3 96.8 96.7 31.9 69.9 73.5 76.2 46.4 78.6 71.1 42.4 55.1 213.8 134.9 131.5 376.7 76.5 Å³/f.u..
In the order shown, the computed theoretical density values come out to 11.6 7.5 6.9 7.3 5.9 8.1 7.0 4.8 8.1 6.3 13.1 7.2 4.7 6.5 11.5 5.5 3.6 5.3 3.3 12.4 g cm⁻³.